Entry 1:
# RbSrCa2

A relaxed structure of RbSrCa2 (PBE-GGA, the Alexandria database).

Computed properties:
As for the crystal system: tetragonal. The calculated volume comes out at 53.5 A^3/atom. Its total energy is -1.54 eV per atom.

```
RbSrCa2
1.0
4.0855 0.0000 0.0000
0.0000 4.0855 0.0000
0.0000 0.0000 12.8304
Rb Sr Ca
1 1 2
direct
0.0000 0.0000 0.0000
0.0000 0.0000 0.5000
0.5000 0.5000 0.2752
0.5000 0.5000 0.7248
```

Entry 2:
# RbSr2Ca2

A relaxed structure of RbSr2Ca2 (PBE-GGA, the Alexandria database).

Computed properties:
As for the crystal system: tetragonal. The calculated volume comes out at 56.8 A^3/atom. Its total energy is -1.53 eV per atom.

```
RbSr2Ca2
1.0
11.5717 0.0000 0.0000
0.0000 11.5717 0.0000
0.0000 0.0000 4.2412
Rb Sr Ca
2 4 4
direct
0.0000 0.0000 0.0000
0.5000 0.5000 0.0000
0.1747 0.3253 0.5000
0.3253 0.8253 0.5000
0.6747 0.1747 0.5000
0.8253 0.6747 0.5000
0.1156 0.6156 0.0000
0.3844 0.1156 0.0000
0.6156 0.8844 0.0000
0.8844 0.3844 0.0000
```

| no. | size of the total moment (μB/cell) |
| --- | --- |
| 1 | 0.0 |
| 2 | 0.0 |